## i
# InTeC, optimized geometry, DFT PBE-GGA
# magnetization	0.0	μB/f.u.
# V	69.2	Å³/f.u.
# D(E_F)	6.12	states/eV/cell
data_InTeC
_chemical_formula_sum 'In4 Te4 C4'
_space_group_name_H-M_alt 'C 1 m 1'
_space_group_IT_number 8
_cell_length_a 10.849
_cell_length_b 3.667
_cell_length_c 8.000
_cell_angle_alpha 90.00
_cell_angle_beta 119.56
_cell_angle_gamma 90.00
loop_
_space_group_symop_operation_xyz
'x,y,z'
'x,-y,z'
'x+1/2,y+1/2,z'
'x+1/2,-y+1/2,z'
loop_
_atom_site_label
_atom_site_type_symbol
_atom_site_fract_x
_atom_site_fract_y
_atom_site_fract_z
_atom_site_occupancy
In1 In 0.000 0.000 0.000 1
In2 In 0.241 0.500 0.488 1
Te1 Te 0.154 0.000 0.773 1
Te2 Te 0.396 0.000 0.281 1
C1 C 0.205 0.000 0.289 1
C2 C 0.369 0.000 0.996 1

## ii
# InTeC, optimized geometry, DFT PBE-GGA
# magnetization	0.0	μB/f.u.
# V	85.1	Å³/f.u.
# D(E_F)	1.80	states/eV/cell
data_InTeC
_chemical_formula_sum 'In2 Te2 C2'
_space_group_name_H-M_alt 'P 1'
_space_group_IT_number 1
_cell_length_a 3.824
_cell_length_b 6.225
_cell_length_c 7.604
_cell_angle_alpha 81.15
_cell_angle_beta 89.62
_cell_angle_gamma 72.27
loop_
_space_group_symop_operation_xyz
'x,y,z'
loop_
_atom_site_label
_atom_site_type_symbol
_atom_site_fract_x
_atom_site_fract_y
_atom_site_fract_z
_atom_site_occupancy
In1 In 0.000 0.000 0.000 1
In2 In 0.204 0.608 0.361 1
Te1 Te 0.449 0.101 0.296 1
Te2 Te 0.806 0.393 0.685 1
C1 C 0.585 0.830 0.901 1
C2 C 0.671 0.660 0.821 1

## iii
# InTeC, optimized geometry, DFT PBE-GGA
# magnetization	0.0	μB/f.u.
# V	71.6	Å³/f.u.
# D(E_F)	3.85	states/eV/cell
data_InTeC
_chemical_formula_sum 'In4 Te4 C4'
_space_group_name_H-M_alt 'A m m 2'
_space_group_IT_number 38
_cell_length_a 3.882
_cell_length_b 13.570
_cell_length_c 5.440
_cell_angle_alpha 90.00
_cell_angle_beta 90.00
_cell_angle_gamma 90.00
loop_
_space_group_symop_operation_xyz
'x,y,z'
'-x,-y,z'
'-x,y,z'
'x,-y,z'
'x,y+1/2,z+1/2'
'-x,-y+1/2,z+1/2'
'-x,y+1/2,z+1/2'
'x,-y+1/2,z+1/2'
loop_
_atom_site_label
_atom_site_type_symbol
_atom_site_fract_x
_atom_site_fract_y
_atom_site_fract_z
_atom_site_occupancy
In1 In 0.000 0.105 0.000 1
Te1 Te 0.500 0.162 0.472 1
C1 C 0.500 0.183 0.873 1

## iv
# InTeC, optimized geometry, DFT PBE-GGA
# magnetization	0.0	μB/f.u.
# V	95.1	Å³/f.u.
data_InTeC
_chemical_formula_sum 'In2 Te2 C2'
_space_group_name_H-M_alt 'P 1 m 1'
_space_group_IT_number 6
_cell_length_a 6.484
_cell_length_b 4.490
_cell_length_c 6.721
_cell_angle_alpha 90.00
_cell_angle_beta 103.61
_cell_angle_gamma 90.00
loop_
_space_group_symop_operation_xyz
'x,y,z'
'x,-y,z'
loop_
_atom_site_label
_atom_site_type_symbol
_atom_site_fract_x
_atom_site_fract_y
_atom_site_fract_z
_atom_site_occupancy
In1 In 0.000 0.000 0.000 1
In2 In 0.226 0.500 0.481 1
Te1 Te 0.263 0.500 0.978 1
Te2 Te 0.642 0.000 0.653 1
C1 C 0.811 0.000 0.432 1
C2 C 0.900 0.000 0.287 1

Stability, highest: iv

## i
# InTe3C, optimized geometry, DFT PBE-GGA
# magnetization	0.7	μB/f.u.
# V	184.3	Å³/f.u.
# D(E_F)	7.61	states/eV/cell
data_InTe3C
_chemical_formula_sum 'In1 Te3 C1'
_space_group_name_H-M_alt 'P m -3 m'
_space_group_IT_number 221
_space_group_name_Hall '-P 4 2 3'
_cell_length_a 5.690
_cell_length_b 5.690
_cell_length_c 5.690
_cell_angle_alpha 90.00
_cell_angle_beta 90.00
_cell_angle_gamma 90.00
loop_
_atom_site_label
_atom_site_type_symbol
_atom_site_fract_x
_atom_site_fract_y
_atom_site_fract_z
_atom_site_occupancy
In1 In 0.000 0.000 0.000 1
Te1 Te 0.000 0.000 0.500 1
C1 C 0.500 0.500 0.500 1

## ii
# InTe3C, optimized geometry, DFT PBE-GGA
# magnetization	0.0	μB/f.u.
# V	117.8	Å³/f.u.
# D(E_F)	3.36	states/eV/cell
data_InTe3C
_chemical_formula_sum 'In1 Te3 C1'
_space_group_name_H-M_alt 'P m -3 m'
_space_group_IT_number 221
_space_group_name_Hall '-P 4 2 3'
_cell_length_a 4.902
_cell_length_b 4.902
_cell_length_c 4.902
_cell_angle_alpha 90.00
_cell_angle_beta 90.00
_cell_angle_gamma 90.00
loop_
_atom_site_label
_atom_site_type_symbol
_atom_site_fract_x
_atom_site_fract_y
_atom_site_fract_z
_atom_site_occupancy
In1 In 0.000 0.000 0.000 1
Te1 Te 0.000 0.500 0.500 1
C1 C 0.500 0.500 0.500 1

Stability, highest: ii

## i
# InTe2C, optimized geometry, DFT PBE-GGA
# magnetization	0.0	μB/f.u.
# V	95.4	Å³/f.u.
# D(E_F)	6.73	states/eV/cell
data_InTe2C
_chemical_formula_sum 'In3 Te6 C3'
_space_group_name_H-M_alt 'R -3 m'
_space_group_IT_number 166
_space_group_name_Hall '-R 3 2"'
_cell_length_a 3.3825
_cell_length_b 3.3825
_cell_length_c 28.8963
_cell_angle_alpha 90.00
_cell_angle_beta 90.00
_cell_angle_gamma 120.00
loop_
_atom_site_label
_atom_site_type_symbol
_atom_site_fract_x
_atom_site_fract_y
_atom_site_fract_z
_atom_site_occupancy
In1 In 0.0000 0.0000 0.0000 1
Te1 Te 0.0000 0.0000 0.1131 1
C1 C 0.0000 0.0000 0.5000 1

## ii
# InTe2C, optimized geometry, DFT PBE-GGA
# magnetization	0.0	μB/f.u.
# V	90.4	Å³/f.u.
# D(E_F)	16.84	states/eV/cell
data_InTe2C
_chemical_formula_sum 'In4 Te8 C4'
_space_group_name_H-M_alt 'F m -3 m'
_space_group_IT_number 225
_space_group_name_Hall '-F 4 2 3'
_cell_length_a 7.126
_cell_length_b 7.126
_cell_length_c 7.126
_cell_angle_alpha 90.00
_cell_angle_beta 90.00
_cell_angle_gamma 90.00
loop_
_atom_site_label
_atom_site_type_symbol
_atom_site_fract_x
_atom_site_fract_y
_atom_site_fract_z
_atom_site_occupancy
In1 In 0.000 0.000 0.000 1
Te1 Te 0.250 0.250 0.250 1
C1 C 0.000 0.000 0.500 1

Stability, highest: i

## i
# InTe2C2, optimized geometry, DFT PBE-GGA
# magnetization	0.0	μB/f.u.
# V	96.3	Å³/f.u.
# D(E_F)	6.44	states/eV/cell
data_InTe2C2
_chemical_formula_sum 'In2 Te4 C4'
_space_group_name_H-M_alt 'I 4/m m m'
_space_group_IT_number 139
_space_group_name_Hall '-I 4 2'
_cell_length_a 4.982
_cell_length_b 4.982
_cell_length_c 7.758
_cell_angle_alpha 90.00
_cell_angle_beta 90.00
_cell_angle_gamma 90.00
loop_
_atom_site_label
_atom_site_type_symbol
_atom_site_fract_x
_atom_site_fract_y
_atom_site_fract_z
_atom_site_occupancy
In1 In 0.000 0.000 0.000 1
Te1 Te 0.000 0.500 0.250 1
C1 C 0.000 0.000 0.415 1

## ii
# InTe2C2, optimized geometry, DFT PBE-GGA
# magnetization	0.0	μB/f.u.
# V	111.1	Å³/f.u.
# D(E_F)	4.60	states/eV/cell
data_InTe2C2
_chemical_formula_sum 'In2 Te4 C4'
_space_group_name_H-M_alt 'P 4/m b m'
_space_group_IT_number 127
_space_group_name_Hall '-P 4 2ab'
_cell_length_a 8.197
_cell_length_b 8.197
_cell_length_c 3.307
_cell_angle_alpha 90.00
_cell_angle_beta 90.00
_cell_angle_gamma 90.00
loop_
_atom_site_label
_atom_site_type_symbol
_atom_site_fract_x
_atom_site_fract_y
_atom_site_fract_z
_atom_site_occupancy
In1 In 0.000 0.000 0.000 1
Te1 Te 0.155 0.345 0.500 1
C1 C 0.230 0.730 0.000 1

Stability, highest: i

## i
# In2Te2C, optimized geometry, DFT PBE-GGA
# magnetization	0.0	μB/f.u.
# V	133.1	Å³/f.u.
# D(E_F)	5.80	states/eV/cell
data_In2Te2C
_chemical_formula_sum 'In4 Te4 C2'
_space_group_name_H-M_alt 'P 4/m b m'
_space_group_IT_number 127
_space_group_name_Hall '-P 4 2ab'
_cell_length_a 6.581
_cell_length_b 6.581
_cell_length_c 6.149
_cell_angle_alpha 90.00
_cell_angle_beta 90.00
_cell_angle_gamma 90.00
loop_
_atom_site_label
_atom_site_type_symbol
_atom_site_fract_x
_atom_site_fract_y
_atom_site_fract_z
_atom_site_occupancy
In1 In 0.182 0.318 0.000 1
Te1 Te 0.217 0.717 0.500 1
C1 C 0.000 0.000 0.500 1

## ii
# In2Te2C, optimized geometry, DFT PBE-GGA
# magnetization	1.4	μB/f.u.
# V	136.9	Å³/f.u.
# D(E_F)	5.54	states/eV/cell
data_In2Te2C
_chemical_formula_sum 'In4 Te4 C2'
_space_group_name_H-M_alt 'I 4/m m m'
_space_group_IT_number 139
_space_group_name_Hall '-I 4 2'
_cell_length_a 4.196
_cell_length_b 4.196
_cell_length_c 15.551
_cell_angle_alpha 90.00
_cell_angle_beta 90.00
_cell_angle_gamma 90.00
loop_
_atom_site_label
_atom_site_type_symbol
_atom_site_fract_x
_atom_site_fract_y
_atom_site_fract_z
_atom_site_occupancy
In1 In 0.000 0.500 0.250 1
Te1 Te 0.000 0.000 0.092 1
C1 C 0.000 0.000 0.500 1

Stability, highest: i

## i
# Th4In2C, optimized geometry, DFT PBE-GGA
# magnetization	0.0	μB/f.u.
# V	202.7	Å³/f.u.
# D(E_F)	15.20	states/eV/cell
data_Th4In2C
_chemical_formula_sum 'Th8 In4 C2'
_space_group_name_H-M_alt 'P 1 21/m 1'
_space_group_IT_number 11
_cell_length_a 6.545
_cell_length_b 6.775
_cell_length_c 9.659
_cell_angle_alpha 90.00
_cell_angle_beta 108.81
_cell_angle_gamma 90.00
loop_
_space_group_symop_operation_xyz
'x,y,z'
'-x,-y,-z'
'-x,y+1/2,-z'
'x,-y+1/2,z'
loop_
_atom_site_label
_atom_site_type_symbol
_atom_site_fract_x
_atom_site_fract_y
_atom_site_fract_z
_atom_site_occupancy
Th1 Th 0.190 0.250 0.050 1
Th2 Th 0.257 0.516 0.709 1
Th3 Th 0.266 0.750 0.343 1
In1 In 0.246 0.250 0.405 1
In2 In 0.344 0.750 0.030 1
C1 C 0.103 0.250 0.796 1

## ii
# Th4In2C, optimized geometry, DFT PBE-GGA
# magnetization	0.0	μB/f.u.
# V	206.0	Å³/f.u.
# D(E_F)	9.90	states/eV/cell
data_Th4In2C
_chemical_formula_sum 'Th8 In4 C2'
_space_group_name_H-M_alt 'I 4/m m m'
_space_group_IT_number 139
_space_group_name_Hall '-I 4 2'
_cell_length_a 5.036
_cell_length_b 5.036
_cell_length_c 16.244
_cell_angle_alpha 90.00
_cell_angle_beta 90.00
_cell_angle_gamma 90.00
loop_
_atom_site_label
_atom_site_type_symbol
_atom_site_fract_x
_atom_site_fract_y
_atom_site_fract_z
_atom_site_occupancy
Th1 Th 0.000 0.000 0.158 1
Th2 Th 0.000 0.500 0.000 1
In1 In 0.000 0.000 0.360 1
C1 C 0.000 0.000 0.000 1

Stability, highest: ii